FeAgOs | SCAN | PBEsol geometry

Output
offset from the most stable computed form = 601 meV per atom
raw total energy = -39.4376 eV/atom
E_form = 3.06 eV/f.u.
V = 15.1 Å³/atom

Cell lengths 3.9995, 3.9995, 3.9995 Å; angles 60.00, 60.00, 60.00 degrees
Element x y z (fractional)
Fe  0.0000  0.0000  0.0000
Ag  0.2500  0.2500  0.2500
Os  0.7500  0.7500  0.7500

BaSiPb2 | SCAN | PBEsol geometry

Output
raw total energy = -50.3879 eV/atom
V = 28.4 Å³/atom

Cell lengths 4.8053, 4.8053, 4.9271 Å; angles 90.00, 90.00, 90.00 degrees
Element x y z (fractional)
Ba  0.0000  0.0000  0.0000
Si  0.5000  0.5000  0.0000
Pb  0.0000  0.5000  0.5000
Pb  0.5000  0.0000  0.5000

HfAsPd | SCAN | PBEsol geometry

Output
raw total energy = -39.4206 eV/atom
E_form = -2.62 eV/f.u.
V = 16.6 Å³/atom

Cell lengths 6.6354, 6.6354, 3.9092 Å; angles 90.00, 90.00, 120.00 degrees
Element x y z (fractional)
Hf  0.0000  0.4051  0.0000
Hf  0.4051  0.0000  0.0000
Hf  0.5949  0.5949  0.0000
As  0.0000  0.0000  0.0000
As  0.3333  0.6667  0.5000
As  0.6667  0.3333  0.5000
Pd  0.0000  0.7370  0.5000
Pd  0.2630  0.2630  0.5000
Pd  0.7370  0.0000  0.5000

Be2FePAu | SCAN | PBEsol geometry

Output
raw total energy = -20.4782 eV/atom
E_form = 4.00 eV/f.u.
V = 16.9 Å³/atom

Cell lengths 4.1926, 4.1926, 4.7963 Å; angles 90.00, 90.00, 90.00 degrees
Element x y z (fractional)
Be  0.0000  0.5000  0.0000
Be  0.5000  0.0000  0.0000
Fe  0.0000  0.0000  0.5000
P  0.5000  0.5000  0.5000
Au  0.0000  0.0000  0.0000

Lu5In4 | SCAN | PBEsol geometry

Output
raw total energy = -46.1152 eV/atom
E_form = -4.77 eV/f.u.
V = 24.7 Å³/atom

Cell lengths 8.9644, 8.9644, 6.3935 Å; angles 90.00, 90.00, 120.00 degrees
Element x y z (fractional)
Lu  0.0000  0.2924  0.2500
Lu  0.0000  0.7076  0.7500
Lu  0.2924  0.0000  0.2500
Lu  0.2924  0.2924  0.7500
Lu  0.3333  0.6667  0.0000
Lu  0.3333  0.6667  0.5000
Lu  0.6667  0.3333  0.0000
Lu  0.6667  0.3333  0.5000
Lu  0.7076  0.0000  0.7500
Lu  0.7076  0.7076  0.2500
In  0.0000  0.0000  0.0000
In  0.0000  0.0000  0.5000
In  0.0000  0.3708  0.7500
In  0.0000  0.6292  0.2500
In  0.3708  0.0000  0.7500
In  0.3708  0.3708  0.2500
In  0.6292  0.0000  0.2500
In  0.6292  0.6292  0.7500

MnZn2Ir | SCAN | PBEsol geometry

Output
raw total energy = -29.4976 eV/atom
E_form = -1.61 eV/f.u.
V = 13.4 Å³/atom

Cell lengths 4.5759, 4.5759, 4.5759 Å; angles 130.94, 130.94, 71.91 degrees
Element x y z (fractional)
Mn  0.0000  0.0000  0.0000
Zn  0.2500  0.7500  0.5000
Zn  0.7500  0.2500  0.5000
Ir  0.5000  0.5000  0.0000

Across the entries above, density of states at the Fermi level takes the values 0.8883, 0.2682, 0.5824, 0.6059, 0.5931, 0.3502 states/eV/atom, respectively.